# RbCaHfCr2

RbCaHfCr2 after structural relaxation (PBEsol, Alexandria via LeMat-Bulk).

The structure in extended XYZ format:
```
5
Lattice="5.0158 0.0000 0.0000 0.0000 5.0158 0.0000 0.0000 0.0000 5.8495" Properties=species:S:1:pos:R:3 pbc="T T T"
Rb 0.0000 0.0000 0.0000
Ca 2.5079 2.5079 0.0000
Hf 2.5079 2.5079 2.9248
Cr 0.0000 2.5079 2.9248
Cr 2.5079 0.0000 2.9248
```

Calculated values
The value obtained for the formation enthalpy at 0 K is 1.43 eV per atom. The total energy is -0.1985 Ha/atom. For the density of states at the Fermi level, the calculation gives 0.7663 states/eV per atom. As for the space group: No. 123.

---

# AsPAu2

AsPAu2 after structural relaxation (PBEsol, Alexandria via LeMat-Bulk).

The structure in extended XYZ format:
```
4
Lattice="2.7606 0.0000 0.0000 0.0000 2.7606 0.0000 0.0000 0.0000 8.9795" Properties=species:S:1:pos:R:3 pbc="T T T"
As 0.0000 0.0000 0.0000
P 0.0000 0.0000 4.4898
Au 1.3803 1.3803 2.3516
Au 1.3803 1.3803 6.6279
```

Calculated values
The value obtained for the formation enthalpy at 0 K is 0.34 eV per atom. The total energy is -0.1597 Ha/atom. For the density of states at the Fermi level, the calculation gives 0.2948 states/eV per atom. As for the space group: No. 123.

---

# MnOsBr3

MnOsBr3 after structural relaxation (PBEsol, Alexandria via LeMat-Bulk).

The structure in extended XYZ format:
```
5
Lattice="4.9865 0.0000 0.0000 0.0000 4.9865 0.0000 0.0000 0.0000 4.9865" Properties=species:S:1:pos:R:3 pbc="T T T"
Mn 0.0000 0.0000 0.0000
Os 2.4933 2.4933 2.4933
Br 0.0000 2.4933 2.4933
Br 2.4933 0.0000 2.4933
Br 2.4933 2.4933 0.0000
```

Calculated values
The total energy is -0.1721 Ha/atom. The calculation puts the energy relative to the elements, uncorrected at 0.835 eV/atom. For the density of states at the Fermi level, the calculation gives 0.9529 states/eV per atom. As for the space group: No. 221.

---

# Zr2ZnCd

Zr2ZnCd after structural relaxation (PBEsol, Alexandria via LeMat-Bulk).

The structure in extended XYZ format:
```
4
Lattice="4.3290 0.0000 0.0000 0.0000 4.3290 0.0000 0.0000 0.0000 4.0957" Properties=species:S:1:pos:R:3 pbc="T T T"
Zr 0.0000 2.1645 0.0000
Zr 2.1645 0.0000 0.0000
Zn 0.0000 0.0000 2.0478
Cd 2.1645 2.1645 2.0478
```

Calculated values
The value obtained for the formation enthalpy at 0 K is -0.18 eV per atom. The total energy is -0.1991 Ha/atom. For the density of states at the Fermi level, the calculation gives 1.0154 states/eV per atom. As for the space group: No. 123.